Entry from the Alexandria database: crystalline TbIn2Ag at its relaxed geometry (PBE).

a = 3.567 Å, b = 3.567 Å, c = 7.450 Å
α = 90.00°, β = 90.00°, γ = 90.00°
Element x y z (fractional)
Ag 0.500 0.500 0.000
In 0.000 0.000 0.782
In 0.000 0.000 0.218
Tb 0.500 0.500 0.500

E_form = -0.96 eV/f.u.
Calculated total energy = -13.92 eV per cell
Space group = No. 123
Crystal system = tetragonal

Entry from the Alexandria database: crystalline Tb11In9Ag4 at its relaxed geometry (PBE).

a = 3.748 Å, b = 13.375 Å, c = 13.375 Å
α = 112.88°, β = 90.00°, γ = 90.00°
Element x y z (fractional)
In 0.500 0.157 0.632
In 0.500 0.632 0.157
In 0.500 0.843 0.368
In 0.500 0.069 0.215
In 0.500 0.215 0.069
In 0.500 0.368 0.843
In 0.500 0.931 0.785
In 0.500 0.500 0.500
In 0.500 0.785 0.931
Tb 0.000 0.839 0.161
Tb 0.000 0.937 0.589
Tb 0.000 0.161 0.839
Tb 0.000 0.700 0.700
Tb 0.000 0.632 0.368
Tb 0.000 0.000 0.000
Tb 0.000 0.368 0.632
Tb 0.000 0.300 0.300
Tb 0.000 0.411 0.063
Tb 0.000 0.063 0.411
Tb 0.000 0.589 0.937
Ag 0.500 0.752 0.552
Ag 0.500 0.248 0.448
Ag 0.500 0.448 0.248
Ag 0.500 0.552 0.752

E_form = -10.55 eV/f.u.
Calculated total energy = -97.54 eV per cell
Space group = No. 65
Crystal system = orthorhombic